No. 1
Here is CdIn2Rh2 after structural relaxation from Alexandria. Energies are from PBE-GGA.

Results
ΔH_f (0 K) in eV/atom: -0.229

Lattice parameters (Å, degrees): 7.7694 7.7694 3.0753 90.00 90.00 90.00
Atoms (fractional coordinates):
Cd  0.0000  0.0000  0.0000
Cd  0.5000  0.5000  0.0000
Rh  0.1557  0.6557  0.5000
Rh  0.6557  0.8443  0.5000
Rh  0.8443  0.3443  0.5000
Rh  0.3443  0.1557  0.5000
In  0.3590  0.8590  0.0000
In  0.8590  0.6410  0.0000
In  0.6410  0.1410  0.0000
In  0.1410  0.3590  0.0000

---

No. 2
Here is CdInRh2 after structural relaxation from Alexandria. Energies are from PBE-GGA.

Results
ΔH_f (0 K) in eV/atom: -0.103

Lattice parameters (Å, degrees): 5.6054 5.6054 5.6054 148.00 131.61 59.20
Atoms (fractional coordinates):
Cd  0.5083  0.5083  0.0000
In  0.2350  0.7350  0.5000
Rh  0.9964  0.9964  0.0000
Rh  0.7603  0.2603  0.5000

---

No. 3
Here is Cd2InRh2 after structural relaxation from Alexandria. Energies are from PBE-GGA.

Results
ΔH_f (0 K) in eV/atom: 0.124

Lattice parameters (Å, degrees): 3.9387 3.9387 6.9890 73.63 73.63 90.00
Atoms (fractional coordinates):
Cd  0.7500  0.2500  0.5000
Cd  0.2500  0.7500  0.5000
Rh  0.4018  0.4018  0.1963
Rh  0.5982  0.5982  0.8037
In  0.0000  0.0000  0.0000

---

No. 4
Here is Cd5InRh6 after structural relaxation from Alexandria. Energies are from PBE-GGA.

Results
ΔH_f (0 K) in eV/atom: -0.148

Lattice parameters (Å, degrees): 4.5601 6.4790 7.2101 90.00 108.42 90.00
Atoms (fractional coordinates):
In  0.0000  0.0000  0.0000
Rh  0.8352  0.7512  0.6712
Rh  0.8352  0.2488  0.6712
Rh  0.5000  0.2440  0.0000
Rh  0.5000  0.7560  0.0000
Rh  0.1648  0.7512  0.3288
Rh  0.1648  0.2488  0.3288
Cd  0.6673  0.5000  0.3337
Cd  0.3301  0.0000  0.6610
Cd  0.0000  0.5000  0.0000
Cd  0.6699  0.0000  0.3390
Cd  0.3327  0.5000  0.6663